[1]
Compound: Cs2SmAgCl6
Source: OQMD
Functional: PBE
Structure: optimized geometry

It has space group Fm-3m (No. 225), with a = 10.900 Å, b = 10.900 Å, c = 10.900 Å, α = 90.00°, β = 90.00° and γ = 90.00°. Symmetry generates all atoms from Cs at (0.250, 0.250, 0.250), Sm at (0.000, 0.000, 0.000), Ag at (0.000, 0.000, 0.500) and Cl at (0.000, 0.000, 0.247).

The value obtained for the total magnetic moment is 0.00 μB/f.u. As for the total energy: -3.879 eV per atom. The crystal system is cubic.

=====

[2]
Compound: Cs2AgSnCl6
Source: OQMD
Functional: PBE
Structure: optimized geometry

It has space group C2/m (No. 12), with a = 13.063 Å, b = 7.546 Å, c = 7.543 Å, α = 90.00°, β = 125.24° and γ = 90.00°. Symmetry generates all atoms from Cs at (0.250, 0.000, 0.250), Ag at (0.000, 0.000, 0.500), Sn at (0.000, 0.500, 0.000), Cl at (0.001, 0.252, 0.752) and Cl at (0.248, 0.500, 0.249).

As for the total energy: -3.289 eV per atom. The crystal system is monoclinic.